Record 1
DFT (PBE-GGA) results for crystalline NaLa2AlH at its relaxed geometry.

Results
The total DFT energy (no corrections) comes out at -3.865 eV per atom. As for the space-group type: P4/mmm (123).

a b c (Å): 5.132 5.132 4.511
angles (deg): 90.00 90.00 90.00
Fractional coordinates of all 5 atoms:
Na1 0.000 0.000 0.000
La1 0.000 0.500 0.500
La2 0.500 0.000 0.500
Al1 0.500 0.500 0.000
H1 0.000 0.000 0.500

Record 2
DFT (PBE-GGA) results for crystalline La2AlNi9H2 at its relaxed geometry.

Results
The total DFT energy (no corrections) comes out at -5.507 eV per atom. As for the space-group type: P1 (1).

a b c (Å): 5.034 5.062 8.136
angles (deg): 88.93 89.11 61.33
Fractional coordinates of all 14 atoms:
La1 0.000 0.000 0.000
La2 0.015 0.010 0.526
Al1 0.512 0.508 0.270
Ni1 0.003 0.524 0.272
Ni2 0.004 0.508 0.769
Ni3 0.335 0.350 0.019
Ni4 0.336 0.351 0.519
Ni5 0.498 0.522 0.768
Ni6 0.500 0.998 0.768
Ni7 0.526 0.001 0.272
Ni8 0.672 0.665 0.019
Ni9 0.683 0.674 0.518
H1 0.214 0.214 0.175
H2 0.692 0.169 0.759

Record 3
DFT (PBE-GGA) results for crystalline La2AlNi9H at its relaxed geometry.

Results
The total DFT energy (no corrections) comes out at -5.673 eV per atom. As for the space-group type: Amm2 (38).

a b c (Å): 8.109 5.008 5.008
angles (deg): 60.77 90.00 90.00
Fractional coordinates of all 13 atoms:
La1 0.231 0.000 0.000
La2 0.769 0.000 0.000
Al1 0.500 0.500 0.500
Ni1 0.000 0.001 0.499
Ni2 0.000 0.499 0.001
Ni3 0.000 0.501 0.501
Ni4 0.248 0.336 0.336
Ni5 0.248 0.667 0.667
Ni6 0.500 0.503 0.995
Ni7 0.500 0.995 0.503
Ni8 0.752 0.336 0.336
Ni9 0.752 0.667 0.667
H1 0.500 0.135 0.135

Record 4
DFT (PBE-GGA) results for crystalline La2AlHPb at its relaxed geometry.

Results
The total DFT energy (no corrections) comes out at -4.523 eV per atom. As for the space-group type: P4/mmm (123).

a b c (Å): 5.031 5.031 4.625
angles (deg): 90.00 90.00 90.00
Fractional coordinates of all 5 atoms:
La1 0.000 0.500 0.000
La2 0.500 0.000 0.000
Al1 0.000 0.000 0.500
H1 0.000 0.000 0.000
Pb1 0.500 0.500 0.500

Record 5
DFT (PBE-GGA) results for crystalline LaAl2HPb at its relaxed geometry.

Results
The total DFT energy (no corrections) comes out at -2.910 eV per atom. As for the space-group type: P4/mmm (123).

a b c (Å): 5.218 5.218 6.386
angles (deg): 90.00 90.00 90.00
Fractional coordinates of all 5 atoms:
La1 0.000 0.000 0.000
Al1 0.000 0.500 0.500
Al2 0.500 0.000 0.500
H1 0.500 0.500 0.000
Pb1 0.000 0.000 0.500

Record 6
DFT (PBE-GGA) results for crystalline La2AlHPd6 at its relaxed geometry.

Results
The total DFT energy (no corrections) comes out at -5.567 eV per atom. As for the space-group type: R-3m (166).

a b c (Å): 6.965 6.965 6.965
angles (deg): 49.30 49.30 49.30
Fractional coordinates of all 10 atoms:
La1 0.231 0.231 0.231
La2 0.769 0.769 0.769
Al1 0.500 0.500 0.500
H1 0.000 0.000 0.000
Pd1 0.230 0.230 0.732
Pd2 0.230 0.732 0.230
Pd3 0.268 0.770 0.770
Pd4 0.732 0.230 0.230
Pd5 0.770 0.268 0.770
Pd6 0.770 0.770 0.268

Record 7
DFT (PBE-GGA) results for crystalline LaAlHRh2 at its relaxed geometry.

Results
The total DFT energy (no corrections) comes out at -6.075 eV per atom. As for the space-group type: Cmcm (63).

a b c (Å): 6.103 6.103 6.895
angles (deg): 90.00 90.00 141.33
Fractional coordinates of all 10 atoms:
La1 0.071 0.929 0.750
La2 0.929 0.071 0.250
Al1 0.206 0.794 0.250
Al2 0.794 0.206 0.750
H1 0.500 0.500 0.000
H2 0.500 0.500 0.500
Rh1 0.343 0.657 0.541
Rh2 0.343 0.657 0.959
Rh3 0.657 0.343 0.041
Rh4 0.657 0.343 0.459

Record 8
DFT (PBE-GGA) results for crystalline LaAlH8Rh2 at its relaxed geometry.

Results
The total DFT energy (no corrections) comes out at -4.445 eV per atom. As for the space-group type: R-3m (166).

a b c (Å): 6.171 6.171 6.171
angles (deg): 43.53 43.53 43.53
Fractional coordinates of all 12 atoms:
La1 0.000 0.000 0.000
Al1 0.500 0.500 0.500
H1 0.123 0.554 0.554
H2 0.315 0.315 0.315
H3 0.446 0.446 0.877
H4 0.446 0.877 0.446
H5 0.554 0.123 0.554
H6 0.554 0.554 0.123
H7 0.685 0.685 0.685
H8 0.877 0.446 0.446
Rh1 0.214 0.214 0.214
Rh2 0.786 0.786 0.786

Record 9
DFT (PBE-GGA) results for crystalline La2AlHRu at its relaxed geometry.

Results
The total DFT energy (no corrections) comes out at -5.543 eV per atom. As for the space-group type: P4/mmm (123).

a b c (Å): 5.207 5.207 3.785
angles (deg): 90.00 90.00 90.00
Fractional coordinates of all 5 atoms:
La1 0.000 0.500 0.000
La2 0.500 0.000 0.000
Al1 0.000 0.000 0.500
H1 0.500 0.500 0.000
Ru1 0.500 0.500 0.500

Record 10
DFT (PBE-GGA) results for crystalline LaAlH2Ru at its relaxed geometry.

Results
The total DFT energy (no corrections) comes out at -4.295 eV per atom. As for the space-group type: P4/mmm (123).

a b c (Å): 3.920 3.920 6.372
angles (deg): 90.00 90.00 90.00
Fractional coordinates of all 5 atoms:
La1 0.000 0.000 0.000
Al1 0.000 0.000 0.500
H1 0.000 0.500 0.000
H2 0.500 0.000 0.000
Ru1 0.500 0.500 0.500

Record 11
DFT (PBE-GGA) results for crystalline LaSc2AlH at its relaxed geometry.

Results
The total DFT energy (no corrections) comes out at -5.215 eV per atom. As for the space-group type: P4/mmm (123).

a b c (Å): 4.654 4.654 4.629
angles (deg): 90.00 90.00 90.00
Fractional coordinates of all 5 atoms:
La1 0.000 0.000 0.000
Sc1 0.000 0.500 0.500
Sc2 0.500 0.000 0.500
Al1 0.500 0.500 0.000
H1 0.000 0.000 0.500

Record 12
DFT (PBE-GGA) results for crystalline La2AlSnH at its relaxed geometry.

Results
The total DFT energy (no corrections) comes out at -4.657 eV per atom. As for the space-group type: P4/mmm (123). The value obtained for the energy above the most stable polymorph in this dataset is 0.0 meV per atom.

a b c (Å): 4.992 4.992 4.571
angles (deg): 90.00 90.00 90.00
Fractional coordinates of all 5 atoms:
La1 0.000 0.500 0.000
La2 0.500 0.000 0.000
Al1 0.000 0.000 0.500
Sn1 0.500 0.500 0.500
H1 0.000 0.000 0.000

no.,calculated volume (Å³/atom)
1,23.76
2,12.99
3,13.65
4,23.41
5,34.78
6,17.85
7,16.04
8,8.43
9,20.52
10,19.58
11,20.05
12,22.78